Entry from the Alexandria database: a relaxed As2CI crystal (PBEsol).

a b c (Å): 4.687 4.687 4.687
angles (deg): 60.00 60.00 60.00
Positions (direct):
I 0.500 0.500 0.500
C 0.000 0.000 0.000
As 0.750 0.750 0.750
As 0.250 0.250 0.250

## Properties
The total energy comes out at -0.260 Ry per atom. Its uncorrected formation energy is 1.87 eV per atom. As for the symmetry: No. 225.